# TlBi2I2 PBE relaxed
data_TlBi2I2
_chemical_formula_sum 'Tl2 Bi4 I4'
_space_group_name_H-M_alt 'P 4/m b m'
_space_group_IT_number 127
_space_group_name_Hall '-P 4 2ab'
_cell_length_a 8.319
_cell_length_b 8.319
_cell_length_c 5.343
_cell_angle_alpha 90.00
_cell_angle_beta 90.00
_cell_angle_gamma 90.00
loop_
_atom_site_label
_atom_site_type_symbol
_atom_site_fract_x
_atom_site_fract_y
_atom_site_fract_z
_atom_site_occupancy
Tl1 Tl 0.000 0.000 0.000 1
Bi1 Bi 0.132 0.368 0.000 1
I1 I 0.195 0.695 0.500 1
# V ... 37.0 A^3/atom
# Relative energy among the computed polymorphs ... 0.094 eV/atom
# Spin magnetization ... 0.000 μB/atom
# Crystal system ... tetragonal
# Uncorrected formation energy ... -0.0102 eV per atom
# Raw total energy ... -2.66 eV/atom